i) CaTaBe3: relaxed, PBE.

abc: 4.2693 4.2693 4.2693
angles: 90.00 90.00 90.00
With the nearest neighbours (Å) after each atom.
Fractional coordinates of all 5 atoms:
1 Be 0.0000 0.5000 0.0000  2 Ca 2.13
2 Be 0.0000 0.0000 0.5000  2 Ca 2.13
3 Be 0.5000 0.0000 0.0000  2 Ca 2.13
4 Ca 0.0000 0.0000 0.0000  6 Be 2.13
5 Ta 0.5000 0.5000 0.5000  12 Be 3.02

Output
- Size of the total moment: 0.00 μB/f.u.
- V: 15.56 A^3/atom
- SG: Pm-3m (221)

---

ii) CaTaBe3: relaxed, PBE.

abc: 4.6210 4.6210 4.6210
angles: 90.00 90.00 90.00
With the nearest neighbours (Å) after each atom.
Fractional coordinates of all 5 atoms:
1 Be 0.0000 0.5000 0.0000  2 Ta 2.31
2 Be 0.0000 0.0000 0.5000  2 Ta 2.31
3 Be 0.5000 0.0000 0.0000  2 Ta 2.31
4 Ca 0.5000 0.5000 0.5000  12 Be 3.27
5 Ta 0.0000 0.0000 0.0000  6 Be 2.31

Output
- Size of the total moment: 0.00 μB/f.u.
- V: 19.74 A^3/atom
- SG: Pm-3m (221)

---

Question: of the structures shown, which is the most stable? Reply: ii).